Record 1
Compound: LiLuCoBi
Source: OQMD
Functional: PBE
Structure: relaxed

a b c (Å): 6.704 6.704 6.704
angles (deg): 90.00 90.00 90.00
Space group F-43m (No. 216)
Asymmetric unit:
Li  0.000  0.000  0.000 [4 per cell]
Lu  0.250  0.250  0.250 [4 per cell]
Co  0.250  0.250  0.750 [4 per cell]
Bi  0.000  0.000  0.500 [4 per cell]

E above lowest polymorph = 7.928 kcal/mol of atoms
calculated density = 9.92 Mg/m³

=====

Record 2
Compound: K3TcF7
Source: OQMD
Functional: PBE
Structure: relaxed

a b c (Å): 8.265 7.815 6.392
angles (deg): 90.00 122.19 90.00
Space group Cm (No. 8)
Asymmetric unit:
K  0.000  0.000  0.000 [2 per cell]
K  0.002  0.274  0.490 [4 per cell]
Tc  0.496  0.000  0.988 [2 per cell]
F  0.144  0.310  0.209 [4 per cell]
F  0.155  0.500  0.845 [2 per cell]
F  0.345  0.000  0.142 [2 per cell]
F  0.346  0.180  0.754 [4 per cell]
F  0.473  0.500  0.610 [2 per cell]

calculated total energy = -108.32 eV for the cell shown
calculated density = 3.31 Mg/m³

=====

Record 3
Compound: MgNbBiW
Source: OQMD
Functional: PBE
Structure: relaxed

a b c (Å): 6.737 6.737 6.737
angles (deg): 90.00 90.00 90.00
Space group F-43m (No. 216)
Asymmetric unit:
Mg  0.000  0.000  0.000 [4 per cell]
Nb  0.250  0.250  0.250 [4 per cell]
Bi  0.250  0.250  0.750 [4 per cell]
W  0.000  0.000  0.500 [4 per cell]

E above lowest polymorph = 0.000 kcal/mol of atoms
calculated density = 11.08 Mg/m³

=====

Record 4
Compound: Mg3Hg
Source: OQMD
Functional: PBE
Structure: relaxed

a b c (Å): 11.291 11.291 5.596
angles (deg): 90.00 90.00 90.00
Space group P4_2/nbc (No. 133, origin choice 2)
Asymmetric unit:
Mg  0.044  0.044  0.250 [8 per cell]
Mg  0.106  0.750  0.000 [8 per cell]
Mg  0.157  0.157  0.750 [8 per cell]
Hg  0.040  0.750  0.500 [8 per cell]

calculated total energy = -43.62 eV for the cell shown
calculated density = 5.09 Mg/m³

=====

Record 5
Compound: Sc2Si2Os
Source: OQMD
Functional: PBE
Structure: relaxed

a b c (Å): 6.408 6.408 4.025
angles (deg): 90.00 90.00 90.00
Space group P4/mbm (No. 127)
Asymmetric unit:
Sc  0.174  0.326  0.000 [4 per cell]
Si  0.132  0.632  0.500 [4 per cell]
Os  0.000  0.000  0.500 [2 per cell]

calculated total energy = -77.71 eV for the cell shown
calculated density = 6.76 Mg/m³

=====

Record 6
Compound: NdHo2NiSn3Ir2
Source: OQMD
Functional: PBE
Structure: relaxed

a b c (Å): 3.903 13.060 7.492
angles (deg): 90.00 90.00 90.00
Space group Amm2 (No. 38)
Asymmetric unit:
Nd  0.000  0.000  0.000 [2 per cell]
Ho  0.000  0.204  0.613 [4 per cell]
Ni  0.000  0.000  0.413 [2 per cell]
Sn  0.500  0.000  0.660 [2 per cell]
Sn  0.500  0.127  0.285 [4 per cell]
Ir  0.500  0.171  0.908 [4 per cell]

calculated total energy = -112.26 eV for the cell shown
calculated density = 11.07 Mg/m³

=====

Record 7
Compound: NdGd2In3Cu3
Source: OQMD
Functional: PBE
Structure: relaxed

a b c (Å): 3.956 13.091 7.559
angles (deg): 90.00 90.00 90.00
Space group Amm2 (No. 38)
Asymmetric unit:
Nd  0.000  0.000  0.000 [2 per cell]
Gd  0.000  0.206  0.382 [4 per cell]
In  0.500  0.000  0.337 [2 per cell]
In  0.500  0.128  0.712 [4 per cell]
Cu  0.000  0.000  0.586 [2 per cell]
Cu  0.500  0.169  0.088 [4 per cell]

calculated total energy = -74.15 eV for the cell shown
calculated density = 8.43 Mg/m³

=====

Record 8
Compound: Dy2Re2O5
Source: OQMD
Functional: PBE
Structure: relaxed

a b c (Å): 3.520 3.520 9.457
angles (deg): 90.00 90.00 90.00
Space group P4/mmm (No. 123)
Asymmetric unit:
Dy  0.000  0.000  0.235 [2 per cell]
Re  0.500  0.500  0.000 [1 per cell]
Re  0.500  0.500  0.500 [1 per cell]
O  0.000  0.000  0.000 [1 per cell]
O  0.000  0.500  0.378 [4 per cell]

E above lowest polymorph = 9.197 kcal/mol of atoms
calculated density = 11.02 Mg/m³

=====

- Among the records above, which one has the highest calculated density?
  MgNbBiW